The following is a PBE calculation of an optimized crystal structure of Pu2AlCu, from Alexandria.

POSCAR file:
```
Pu2AlCu
1.0
3.820 0.000 0.000
0.000 3.820 0.000
0.000 0.000 5.737
Pu Al Cu
2 1 1
Direct
0.000 0.000 0.245
0.000 0.000 0.755
0.500 0.500 0.500
0.500 0.500 0.000
```

Values from the calculation:
Energy of formation from the pure elements: -2 kJ per mole of atoms
DFT total energy: -0.336 hartree per atom
Space-group type: P4/mmm (123)
Magnetic moment: 11.3 Bohr magnetons per cell